Entry 1:
DFT (PBE) results for a geometry-optimized SmYFe2B2C2 structure.

It has space group P4mm (No. 99), with a = 3.571 Å, b = 3.571 Å, c = 7.940 Å, α = 90.00°, β = 90.00° and γ = 90.00°. Symmetry generates all atoms from Sm at (0.000, 0.000, 0.000), Y at (0.500, 0.500, 0.327), Fe at (0.000, 0.500, 0.663), B at (0.000, 0.000, 0.501), B at (0.500, 0.500, 0.827), C at (0.000, 0.000, 0.314) and C at (0.500, 0.500, 0.016).

Its calculated total energy is -7.76 eV per atom. The density comes out at 6.50 g/cm3.

***

Entry 2:
DFT (PBE) results for a geometry-optimized BaLaIr3 structure.

It has space group P-6c2 (No. 188), with a = 5.6759 Å, b = 5.6759 Å, c = 8.6220 Å, α = 90.00°, β = 90.00° and γ = 120.00°. Symmetry generates all atoms from Ba at (0.0000, 0.0000, 0.0000), La at (0.3333, 0.6667, 0.0000) and Ir at (0.5104, 0.0268, 0.2500).

Its calculated total energy is -6.57 eV per atom. The density comes out at 11.77 g/cm3.

***

Entry 3:
DFT (PBE) results for a geometry-optimized LuZn2Re structure.

It has space group F-43m (No. 216), with a = 6.503 Å, b = 6.503 Å, c = 6.503 Å, α = 90.00°, β = 90.00° and γ = 90.00°. Symmetry generates all atoms from Lu at (0.000, 0.000, 0.000), Zn at (0.000, 0.000, 0.500), Zn at (0.250, 0.250, 0.250) and Re at (0.250, 0.250, 0.750).

Its calculated total energy is -4.57 eV per atom. The density comes out at 11.88 g/cm3. The formation energy is 0.298 eV/atom.

***

Entry 4:
DFT (PBE) results for a geometry-optimized Nd3P4Pd7 structure.

It has space group C2/m (No. 12), with a = 15.684 Å, b = 4.080 Å, c = 9.540 Å, α = 90.00°, β = 125.85° and γ = 90.00°. Symmetry generates all atoms from Nd at (0.000, 0.000, 0.000), Nd at (0.181, 0.500, 0.679), P at (0.105, 0.000, 0.819), P at (0.160, 0.500, 0.260), Pd at (0.000, 0.000, 0.500), Pd at (0.009, 0.500, 0.281), Pd at (0.166, 0.000, 0.418) and Pd at (0.194, 0.500, 0.029).

Its calculated total energy is -6.12 eV per atom. The density comes out at 8.74 g/cm3.

***

Entry 5:
DFT (PBE) results for a geometry-optimized TaFeAgSb structure.

It has space group F-43m (No. 216), with a = 6.472 Å, b = 6.472 Å, c = 6.472 Å, α = 90.00°, β = 90.00° and γ = 90.00°. Symmetry generates all atoms from Ta at (0.000, 0.000, 0.000), Fe at (0.250, 0.250, 0.750), Ag at (0.250, 0.250, 0.250) and Sb at (0.000, 0.000, 0.500).

Its calculated total energy is -6.30 eV per atom. The density comes out at 11.43 g/cm3.

***

Entry 6:
DFT (PBE) results for a geometry-optimized CuTeCl structure.

It has space group I4_1/amd (No. 141, origin choice 2), with a = 17.739 Å, b = 17.739 Å, c = 4.514 Å, α = 90.00°, β = 90.00° and γ = 90.00°. Symmetry generates all atoms from Cu at (0.104, 0.146, 0.375), Te at (0.147, 0.000, 0.500) and Cl at (0.000, 0.126, 0.642).

Its calculated total energy is -3.04 eV per atom. The density comes out at 4.24 g/cm3.

***

Entry 7:
DFT (PBE) results for a geometry-optimized HgC2O2F3 structure.

It has space group C2/c (No. 15), with a = 14.213 Å, b = 8.694 Å, c = 7.994 Å, α = 90.00°, β = 122.58° and γ = 90.00°. Symmetry generates all atoms from Hg at (0.099, 0.150, 0.402), C at (0.134, 0.380, 0.983), C at (0.238, 0.384, 0.195), O at (0.179, 0.043, 0.774), O at (0.231, 0.312, 0.325), F at (0.066, 0.260, 0.952), F at (0.075, 0.488, 0.448) and F at (0.163, 0.371, 0.846).

Its calculated total energy is -5.48 eV per atom. The density comes out at 5.01 g/cm3.

***

Entry 8:
DFT (PBE) results for a geometry-optimized Hf2ScSb structure.

It has space group F-43m (No. 216), with a = 7.002 Å, b = 7.002 Å, c = 7.002 Å, α = 90.00°, β = 90.00° and γ = 90.00°. Symmetry generates all atoms from Hf at (0.000, 0.000, 0.000), Hf at (0.250, 0.250, 0.250), Sc at (0.250, 0.250, 0.750) and Sb at (0.000, 0.000, 0.500).

Its calculated total energy is -7.68 eV per atom. The density comes out at 10.13 g/cm3.

***

Q: Among the records above, which one has the highest calculated total energy?
A: CuTeCl

***

Please write out number 2 again, unchanged.
DFT (PBE) results for a geometry-optimized BaLaIr3 structure.

It has space group P-6c2 (No. 188), with a = 5.6759 Å, b = 5.6759 Å, c = 8.6220 Å, α = 90.00°, β = 90.00° and γ = 120.00°. Symmetry generates all atoms from Ba at (0.0000, 0.0000, 0.0000), La at (0.3333, 0.6667, 0.0000) and Ir at (0.5104, 0.0268, 0.2500).

Its calculated total energy is -6.57 eV per atom. The density comes out at 11.77 g/cm3.

***

Q: Which formula does entry 6 have?
A: CuTeCl